i:
# Ca3SnSe4 (PBE, relaxed)
# Magnetization ... 0.000 μB/atom
data_Ca3SnSe4
_chemical_formula_sum 'Ca6 Sn2 Se8'
_cell_length_a 8.510
_cell_length_b 12.019
_cell_length_c 4.238
_cell_angle_alpha 90.00
_cell_angle_beta 90.00
_cell_angle_gamma 90.00
_symmetry_space_group_name_H-M 'C m m m'
_symmetry_Int_Tables_number 65
_symmetry_space_group_name_Hall '-C 2 2'
loop_
_atom_site_label
_atom_site_fract_x
_atom_site_fract_y
_atom_site_fract_z
_atom_site_occupancy
Ca1 0.000 0.000 0.000 1
Ca2 0.250 0.250 0.500 1
Sn1 0.000 0.500 0.000 1
Se1 0.000 0.248 0.000 1
Se2 0.244 0.000 0.500 1

=====

ii:
# Ca3SnSe4 (PBE, relaxed)
# Magnetization ... 0.000 μB/atom
data_Ca3SnSe4
_chemical_formula_sum 'Ca3 Sn1 Se4'
_cell_length_a 4.233
_cell_length_b 4.233
_cell_length_c 12.024
_cell_angle_alpha 90.00
_cell_angle_beta 90.00
_cell_angle_gamma 90.00
_symmetry_space_group_name_H-M 'P 4/m m m'
_symmetry_Int_Tables_number 123
_symmetry_space_group_name_Hall '-P 4 2'
loop_
_atom_site_label
_atom_site_fract_x
_atom_site_fract_y
_atom_site_fract_z
_atom_site_occupancy
Ca1 0.000 0.000 0.000 1
Ca2 0.500 0.500 0.249 1
Sn1 0.000 0.000 0.500 1
Se1 0.000 0.000 0.248 1
Se2 0.500 0.500 0.000 1
Se3 0.500 0.500 0.500 1

=====

Last place for stability: i

=====

i:
# SrCaSe2 (PBE, relaxed)
# Magnetization ... 0.000 μB/atom
data_SrCaSe2
_chemical_formula_sum 'Sr2 Ca2 Se4'
_cell_length_a 4.2854
_cell_length_b 4.2854
_cell_length_c 14.5263
_cell_angle_alpha 90.00
_cell_angle_beta 90.00
_cell_angle_gamma 120.00
_symmetry_space_group_name_H-M 'P 63/m m c'
_symmetry_Int_Tables_number 194
_symmetry_space_group_name_Hall '-P 6c 2c'
loop_
_atom_site_label
_atom_site_fract_x
_atom_site_fract_y
_atom_site_fract_z
_atom_site_occupancy
Sr1 0.3333 0.6667 0.2500 1
Ca1 0.0000 0.0000 0.0000 1
Se1 0.3333 0.6667 0.6167 1

=====

ii:
# SrCaSe2 (PBE, relaxed)
# Magnetization ... 0.000 μB/atom
data_SrCaSe2
_chemical_formula_sum 'Sr2 Ca2 Se4'
_cell_length_a 4.197
_cell_length_b 4.197
_cell_length_c 14.131
_cell_angle_alpha 90.00
_cell_angle_beta 90.00
_cell_angle_gamma 90.00
_symmetry_space_group_name_H-M 'I -4 m 2'
_symmetry_Int_Tables_number 119
_symmetry_space_group_name_Hall 'I -4 -2'
loop_
_atom_site_label
_atom_site_fract_x
_atom_site_fract_y
_atom_site_fract_z
_atom_site_occupancy
Sr1 0.000 0.000 0.000 1
Ca1 0.000 0.500 0.750 1
Se1 0.000 0.000 0.500 1
Se2 0.000 0.500 0.250 1

=====

Last place for stability: ii

=====

i:
# Ca3TaSe (PBE, relaxed)
# Magnetization ... 0.000 μB/atom
data_Ca3TaSe
_chemical_formula_sum 'Ca3 Ta1 Se1'
_cell_length_a 5.480
_cell_length_b 5.480
_cell_length_c 5.480
_cell_angle_alpha 90.00
_cell_angle_beta 90.00
_cell_angle_gamma 90.00
_symmetry_space_group_name_H-M 'P m -3 m'
_symmetry_Int_Tables_number 221
_symmetry_space_group_name_Hall '-P 4 2 3'
loop_
_atom_site_label
_atom_site_fract_x
_atom_site_fract_y
_atom_site_fract_z
_atom_site_occupancy
Ca1 0.000 0.000 0.500 1
Ta1 0.000 0.000 0.000 1
Se1 0.500 0.500 0.500 1

=====

ii:
# Ca3TaSe (PBE, relaxed)
# Magnetization ... 0.949 μB/atom
data_Ca3TaSe
_chemical_formula_sum 'Ca3 Ta1 Se1'
_cell_length_a 5.502
_cell_length_b 5.502
_cell_length_c 5.502
_cell_angle_alpha 90.00
_cell_angle_beta 90.00
_cell_angle_gamma 90.00
_symmetry_space_group_name_H-M 'P m -3 m'
_symmetry_Int_Tables_number 221
_symmetry_space_group_name_Hall '-P 4 2 3'
loop_
_atom_site_label
_atom_site_fract_x
_atom_site_fract_y
_atom_site_fract_z
_atom_site_occupancy
Ca1 0.000 0.000 0.500 1
Ta1 0.500 0.500 0.500 1
Se1 0.000 0.000 0.000 1

=====

Last place for stability: i

=====

i:
# CaTa2Se2 (PBE, relaxed)
# Magnetization ... 0.000 μB/atom
data_CaTa2Se2
_chemical_formula_sum 'Ca2 Ta4 Se4'
_cell_length_a 7.709
_cell_length_b 7.709
_cell_length_c 3.299
_cell_angle_alpha 90.00
_cell_angle_beta 90.00
_cell_angle_gamma 90.00
_symmetry_space_group_name_H-M 'P 4/m b m'
_symmetry_Int_Tables_number 127
_symmetry_space_group_name_Hall '-P 4 2ab'
loop_
_atom_site_label
_atom_site_fract_x
_atom_site_fract_y
_atom_site_fract_z
_atom_site_occupancy
Ca1 0.000 0.000 0.000 1
Ta1 0.129 0.371 0.500 1
Se1 0.151 0.651 0.000 1

=====

ii:
# CaTa2Se2 (PBE, relaxed)
# Magnetization ... 0.000 μB/atom
data_CaTa2Se2
_chemical_formula_sum 'Ca2 Ta4 Se4'
_cell_length_a 3.925
_cell_length_b 3.925
_cell_length_c 14.034
_cell_angle_alpha 90.00
_cell_angle_beta 90.00
_cell_angle_gamma 90.00
_symmetry_space_group_name_H-M 'I 4/m m m'
_symmetry_Int_Tables_number 139
_symmetry_space_group_name_Hall '-I 4 2'
loop_
_atom_site_label
_atom_site_fract_x
_atom_site_fract_y
_atom_site_fract_z
_atom_site_occupancy
Ca1 0.000 0.000 0.000 1
Ta1 0.000 0.500 0.250 1
Se1 0.000 0.000 0.384 1

=====

Last place for stability: i

=====

i:
# CaTa3Se (PBE, relaxed)
# Magnetization ... 0.000 μB/atom
data_CaTa3Se
_chemical_formula_sum 'Ca1 Ta3 Se1'
_cell_length_a 4.810
_cell_length_b 4.810
_cell_length_c 4.810
_cell_angle_alpha 90.00
_cell_angle_beta 90.00
_cell_angle_gamma 90.00
_symmetry_space_group_name_H-M 'P m -3 m'
_symmetry_Int_Tables_number 221
_symmetry_space_group_name_Hall '-P 4 2 3'
loop_
_atom_site_label
_atom_site_fract_x
_atom_site_fract_y
_atom_site_fract_z
_atom_site_occupancy
Ca1 0.000 0.000 0.000 1
Ta1 0.000 0.000 0.500 1
Se1 0.500 0.500 0.500 1

=====

ii:
# CaTa3Se (PBE, relaxed)
# Magnetization ... 0.000 μB/atom
data_CaTa3Se
_chemical_formula_sum 'Ca1 Ta3 Se1'
_cell_length_a 4.847
_cell_length_b 4.847
_cell_length_c 4.847
_cell_angle_alpha 90.00
_cell_angle_beta 90.00
_cell_angle_gamma 90.00
_symmetry_space_group_name_H-M 'P m -3 m'
_symmetry_Int_Tables_number 221
_symmetry_space_group_name_Hall '-P 4 2 3'
loop_
_atom_site_label
_atom_site_fract_x
_atom_site_fract_y
_atom_site_fract_z
_atom_site_occupancy
Ca1 0.000 0.000 0.000 1
Ta1 0.000 0.500 0.500 1
Se1 0.500 0.500 0.500 1

=====

Last place for stability: i

=====

i:
# CaTb2Se4 (PBE, relaxed)
# Magnetization ... 0.000 μB/atom
data_CaTb2Se4
_chemical_formula_sum 'Ca4 Tb8 Se16'
_cell_length_a 8.781
_cell_length_b 8.781
_cell_length_c 8.814
_cell_angle_alpha 90.00
_cell_angle_beta 90.00
_cell_angle_gamma 90.00
_symmetry_space_group_name_H-M 'I -4 2 d'
_symmetry_Int_Tables_number 122
_symmetry_space_group_name_Hall 'I -4 2bw'
loop_
_atom_site_label
_atom_site_fract_x
_atom_site_fract_y
_atom_site_fract_z
_atom_site_occupancy
Ca1 0.000 0.000 0.000 1
Tb1 0.126 0.250 0.625 1
Se1 0.072 0.178 0.309 1

=====

ii:
# CaTb2Se4 (PBE, relaxed)
# Magnetization ... 0.000 μB/atom
data_CaTb2Se4
_chemical_formula_sum 'Ca4 Tb8 Se16'
_cell_length_a 4.079
_cell_length_b 13.481
_cell_length_c 14.028
_cell_angle_alpha 90.00
_cell_angle_beta 90.00
_cell_angle_gamma 90.00
_symmetry_space_group_name_H-M 'C m c m'
_symmetry_Int_Tables_number 63
_symmetry_space_group_name_Hall '-C 2c 2'
loop_
_atom_site_label
_atom_site_fract_x
_atom_site_fract_y
_atom_site_fract_z
_atom_site_occupancy
Ca1 0.000 0.114 0.250 1
Tb1 0.000 0.366 0.071 1
Se1 0.000 0.000 0.000 1
Se2 0.000 0.274 0.619 1
Se3 0.000 0.460 0.250 1

=====

Last place for stability: i